First-principles (PBEsol) data for ZrSc3 after structural relaxation, as listed in Alexandria via LeMat-Bulk.

E_form, kJ/mol of formula units: 4
DFT total energy, eV per cell: -57.7
Distance to the lowest polymorph of the same formula, kJ/mol of formula units: 5
V, Å³/atom: 23.0
SG: P6_3/mmc

Structure (POSCAR):
```
ZrSc3
1.0
-4.330 -2.261 -1.291
3.044 -5.723 -0.183
-2.717 2.052 5.519
Sc Zr
6 2
Direct
0.250 0.831 0.169 Sc
0.750 0.169 0.338 Sc
0.250 0.338 0.169 Sc
0.250 0.831 0.662 Sc
0.750 0.662 0.831 Sc
0.750 0.169 0.831 Sc
0.750 0.667 0.333 Zr
0.250 0.333 0.667 Zr
```

First-principles (PBEsol) data for Zr2Sc3 after structural relaxation, as listed in Alexandria via LeMat-Bulk.

E_form, kJ/mol of formula units: 15
DFT total energy, eV per cell: -37.8
V, Å³/atom: 22.7
SG: R-3m

Structure (POSCAR):
```
Zr2Sc3
1.0
3.169 0.000 0.000
1.585 2.745 0.000
1.585 0.915 13.054
Sc Zr
3 2
Direct
0.798 0.798 0.607 Sc
0.202 0.202 0.393 Sc
0.000 0.000 0.000 Sc
0.400 0.400 0.800 Zr
0.600 0.600 0.200 Zr
```

First-principles (PBEsol) data for ZrSc7 after structural relaxation, as listed in Alexandria via LeMat-Bulk.

E_form, kJ/mol of formula units: 31
DFT total energy, eV per cell: -55.0
V, Å³/atom: 23.0
SG: Fm-3m

Structure (POSCAR):
```
ZrSc7
1.0
6.386 0.000 0.000
3.193 5.530 0.000
3.193 1.843 5.214
Sc Zr
7 1
Direct
0.500 0.500 0.000 Sc
0.500 0.000 0.500 Sc
0.500 0.000 0.000 Sc
0.000 0.500 0.500 Sc
0.000 0.500 0.000 Sc
0.500 0.500 0.500 Sc
0.000 0.000 0.500 Sc
0.000 0.000 0.000 Zr
```

First-principles (PBEsol) data for ZrSc2 after structural relaxation, as listed in Alexandria via LeMat-Bulk.

E_form, kJ/mol of formula units: 8
DFT total energy, eV per cell: -22.2
V, Å³/atom: 22.8
SG: P-3m1

Structure (POSCAR):
```
ZrSc2
1.0
-3.099 0.649 -0.299
1.058 -2.961 -0.478
-1.066 -1.603 7.577
Zr Sc
1 2
Direct
0.000 0.000 0.000 Zr
0.333 0.667 0.676 Sc
0.667 0.333 0.324 Sc
```